Record 1
Crystalline NdY14Er at its relaxed geometry. Source: the Alexandria database, functional PBE.

Structure (CIF):
```
data_NdY14Er
_cell_length_a 7.152
_cell_length_b 7.152
_cell_length_c 10.082
_cell_angle_alpha 90.00
_cell_angle_beta 90.00
_cell_angle_gamma 90.00
_space_group_name_H-M_alt 'P 4/m m m'
_space_group_IT_number 123
_space_group_name_Hall '-P 4 2'
loop_
_atom_site_label
_atom_site_type_symbol
_atom_site_fract_x
_atom_site_fract_y
_atom_site_fract_z
_atom_site_occupancy
Nd1 Nd 0.000 0.000 0.000 1
Y1 Y 0.000 0.000 0.500 1
Y2 Y 0.000 0.500 0.000 1
Y3 Y 0.000 0.500 0.500 1
Y4 Y 0.251 0.251 0.250 1
Y5 Y 0.500 0.500 0.500 1
Er1 Er 0.500 0.500 0.000 1
```

Computed properties:
Energy relative to the elements in meV/atom: 21
Density in kg/m³: 5011
M_tot in μB per atom: 0.000



Record 2
Crystalline YSbPbF2 at its relaxed geometry. Source: the Alexandria database, functional PBE.

Structure (CIF):
```
data_YSbPbF2
_cell_length_a 4.424
_cell_length_b 4.424
_cell_length_c 6.450
_cell_angle_alpha 90.00
_cell_angle_beta 90.00
_cell_angle_gamma 90.00
_space_group_name_H-M_alt 'P 4/m m m'
_space_group_IT_number 123
_space_group_name_Hall '-P 4 2'
loop_
_atom_site_label
_atom_site_type_symbol
_atom_site_fract_x
_atom_site_fract_y
_atom_site_fract_z
_atom_site_occupancy
Y1 Y 0.000 0.000 0.000 1
Sb1 Sb 0.000 0.000 0.500 1
Pb1 Pb 0.500 0.500 0.500 1
F1 F 0.000 0.500 0.000 1
```

Computed properties:
Formation energy (no corrections) in meV/atom: -2142
Density in kg/m³: 5998
M_tot in μB per atom: 0.000



Record 3
Crystalline ZnAgBr2 at its relaxed geometry. Source: the Alexandria database, functional PBE.

Structure (CIF):
```
data_ZnAgBr2
_cell_length_a 3.972
_cell_length_b 3.972
_cell_length_c 6.544
_cell_angle_alpha 90.00
_cell_angle_beta 90.00
_cell_angle_gamma 90.00
_space_group_name_H-M_alt 'P 4 m m'
_space_group_IT_number 99
loop_
_space_group_symop_operation_xyz
'x,y,z'
'-y,x,z'
'-x,-y,z'
'y,-x,z'
'-x,y,z'
'y,x,z'
'x,-y,z'
'-y,-x,z'
loop_
_atom_site_label
_atom_site_type_symbol
_atom_site_fract_x
_atom_site_fract_y
_atom_site_fract_z
_atom_site_occupancy
Zn1 Zn 0.000 0.000 0.000 1
Ag1 Ag 0.500 0.500 0.466 1
Br1 Br 0.000 0.000 0.565 1
Br2 Br 0.500 0.500 0.038 1
```

Computed properties:
Formation energy (no corrections) in meV/atom: -228
E above lowest polymorph in meV per atom: 17
Density in kg/m³: 5357
M_tot in μB per atom: 0.000



Record 4
Crystalline PuO2 at its relaxed geometry. Source: the Alexandria database, functional PBE.

Structure (CIF):
```
data_PuO2
_cell_length_a 5.076
_cell_length_b 5.076
_cell_length_c 3.551
_cell_angle_alpha 90.00
_cell_angle_beta 90.00
_cell_angle_gamma 90.00
_space_group_name_H-M_alt 'P 42/m n m'
_space_group_IT_number 136
_space_group_name_Hall '-P 4n 2n'
loop_
_atom_site_label
_atom_site_type_symbol
_atom_site_fract_x
_atom_site_fract_y
_atom_site_fract_z
_atom_site_occupancy
Pu1 Pu 0.000 0.000 0.000 1
O1 O 0.189 0.189 0.500 1
```

Computed properties:
Formation energy (no corrections) in meV/atom: -3055
Density in kg/m³: 10021
M_tot in μB per atom: 1.333